Entry one
This record from Alexandria via LeMat-Bulk describes a relaxed Zn2InPb crystal. The functional is GGA-PBEsol.

Cell and atoms, written as extended XYZ:
```
4
Lattice="4.0289 0.0000 0.0000 0.0000 4.1723 0.0000 -2.0170 0.0000 5.0822" Properties=species:S:1:pos:R:3 pbc="T T T"
Zn 0.0000 0.0000 0.0000
Zn -0.0123 2.0861 1.4752
In 2.0018 0.0000 2.2176
Pb -0.0088 2.0861 4.2876
```

Values from the calculation:
Its calculated density is 8.80 g/cm3. The space group is Pm.

=====

Entry two
This record from Alexandria via LeMat-Bulk describes a relaxed Zn2InPb crystal. The functional is GGA-PBEsol.

Cell and atoms, written as extended XYZ:
```
4
Lattice="-2.1815 2.5012 3.9389 2.1815 -2.5012 3.9389 2.1815 2.5012 -3.9389" Properties=species:S:1:pos:R:3 pbc="T T T"
Zn 0.0000 0.0000 1.8968
Zn 0.0000 0.0000 5.9811
In 2.1815 0.0000 0.0000
Pb 0.0000 2.5012 0.0000
```

Values from the calculation:
Its calculated density is 8.75 g/cm3. The space group is Immm.

=====

Tell me which of them is the least stable. Sure, it is entry two.

=====

Entry one
This record from Alexandria via LeMat-Bulk describes a relaxed Zn2In2Pb crystal. The functional is GGA-PBEsol.

Cell and atoms, written as extended XYZ:
```
10
Lattice="7.8787 0.0000 0.0000 0.0000 7.8787 0.0000 0.0000 0.0000 3.5476" Properties=species:S:1:pos:R:3 pbc="T T T"
Zn 0.9181 3.0213 0.0000
Zn 3.0213 6.9606 0.0000
Zn 4.8575 0.9181 0.0000
Zn 6.9606 4.8575 0.0000
In 1.4109 5.3503 1.7738
In 2.5284 1.4109 1.7738
In 5.3503 6.4678 1.7738
In 6.4678 2.5284 1.7738
Pb 0.0000 0.0000 0.0000
Pb 3.9394 3.9394 0.0000
```

Values from the calculation:
Its calculated density is 8.56 g/cm3. The space group is P4/mbm.

=====

Entry two
This record from Alexandria via LeMat-Bulk describes a relaxed Zn2In2Pb crystal. The functional is GGA-PBEsol.

Cell and atoms, written as extended XYZ:
```
5
Lattice="-2.1283 2.1283 6.2506 2.1283 -2.1283 6.2506 2.1283 2.1283 -6.2506" Properties=species:S:1:pos:R:3 pbc="T T T"
Zn 2.1283 0.0000 3.1253
Zn 0.0000 2.1283 3.1253
In 0.0000 0.0000 1.4206
In 0.0000 0.0000 11.0806
Pb 0.0000 0.0000 6.2506
```

Values from the calculation:
Its calculated density is 8.32 g/cm3. The space group is I4/mmm.

=====

Tell me which of them is the least stable. Sure, it is entry two.

=====

Entry one
This record from Alexandria via LeMat-Bulk describes a relaxed In2PtW crystal. The functional is GGA-PBEsol.

Cell and atoms, written as extended XYZ:
```
4
Lattice="4.4227 0.0000 0.0000 0.0000 4.4227 0.0000 0.0000 0.0000 3.5595" Properties=species:S:1:pos:R:3 pbc="T T T"
In 0.0000 2.2114 0.0000
In 2.2114 0.0000 0.0000
Pt 0.0000 0.0000 1.7798
W 2.2114 2.2114 1.7798
```

Values from the calculation:
Its calculated density is 14.51 g/cm3. The space group is P4/mmm.

=====

Entry two
This record from Alexandria via LeMat-Bulk describes a relaxed In2PtW crystal. The functional is GGA-PBEsol.

Cell and atoms, written as extended XYZ:
```
4
Lattice="2.9049 0.0000 0.0000 0.0000 2.9049 0.0000 0.0000 0.0000 8.7835" Properties=species:S:1:pos:R:3 pbc="T T T"
In 0.0000 0.0000 0.0000
In 1.4525 1.4525 2.7359
Pt 0.0000 0.0000 4.8956
W 1.4525 1.4525 6.6475
```

Values from the calculation:
Its calculated density is 13.63 g/cm3. The space group is P4mm.

=====

Tell me which of them is the least stable. Sure, it is entry one.

=====

Entry one
This record from Alexandria via LeMat-Bulk describes a relaxed In2ReRu crystal. The functional is GGA-PBEsol.

Cell and atoms, written as extended XYZ:
```
4
Lattice="0.0000 3.2133 3.2133 3.2133 0.0000 3.2133 3.2133 3.2133 0.0000" Properties=species:S:1:pos:R:3 pbc="T T T"
In 1.6066 1.6066 1.6066
In 4.8199 4.8199 4.8199
Re 0.0000 0.0000 0.0000
Ru 3.2133 3.2133 3.2133
```

Values from the calculation:
Its calculated density is 12.94 g/cm3. The space group is Fm-3m.

=====

Entry two
This record from Alexandria via LeMat-Bulk describes a relaxed In2ReRu crystal. The functional is GGA-PBEsol.

Cell and atoms, written as extended XYZ:
```
4
Lattice="-1.4985 2.4828 4.5602 1.4985 -2.4828 4.5602 1.4985 2.4828 -4.5602" Properties=species:S:1:pos:R:3 pbc="T T T"
In 0.0000 0.0000 2.2145
In 0.0000 0.0000 6.9059
Re 0.0000 2.4828 0.0000
Ru 1.4985 0.0000 0.0000
```

Values from the calculation:
Its calculated density is 12.65 g/cm3. The space group is Immm.

=====

Tell me which of them is the least stable. Sure, it is entry two.